(1)
Density functional theory data (meta-GGA SCAN) for ScPd2Au2 at its PBEsol-relaxed geometry. Values from VASP.

Output
formation enthalpy at 0 K = -467 meV per atom
N(E_F) = 3.19 states/eV/cell
calculated volume = 89.6 Å³/cell

Quantum ESPRESSO input file:
```
&SYSTEM
  ibrav = 0, nat = 5, ntyp = 3
/
ATOMIC_SPECIES
Sc 44.96 Sc.upf
Pd 106.42 Pd.upf
Au 196.97 Au.upf
CELL_PARAMETERS angstrom
-1.858 1.858 6.490
1.858 -1.858 6.490
1.858 1.858 -6.490
ATOMIC_POSITIONS angstrom
Sc 0.000 0.000 0.000
Pd 1.858 0.000 3.245
Pd 0.000 1.858 3.245
Au 0.000 0.000 5.188
Au 0.000 0.000 7.791
```

---

(2)
Density functional theory data (meta-GGA SCAN) for ScPd3Au at its PBEsol-relaxed geometry. Values from VASP.

Output
formation enthalpy at 0 K = 579 meV per atom
N(E_F) = 3.44 states/eV/cell
calculated volume = 112.3 Å³/cell

Quantum ESPRESSO input file:
```
&SYSTEM
  ibrav = 0, nat = 5, ntyp = 3
/
ATOMIC_SPECIES
Sc 44.96 Sc.upf
Pd 106.42 Pd.upf
Au 196.97 Au.upf
CELL_PARAMETERS angstrom
4.824 0.000 0.000
0.000 4.824 0.000
0.000 0.000 4.824
ATOMIC_POSITIONS angstrom
Sc 0.000 0.000 0.000
Pd 0.000 2.412 2.412
Pd 2.412 0.000 2.412
Pd 2.412 2.412 0.000
Au 2.412 2.412 2.412
```

---

> The highest N(E_F) belongs to which entry?

ScPd3Au